Entry from Alexandria via LeMat-Bulk: an optimized crystal structure of NdGa3AgPd (PBE).

Geometry as CIF:
```
data_NdGa3AgPd
_symmetry_space_group_name_H-M 'C m c m'
_symmetry_Int_Tables_number 63
_symmetry_space_group_name_Hall '-C 2c 2'
_cell_length_a 5.905
_cell_length_b 13.172
_cell_length_c 6.177
_cell_angle_alpha 90.00
_cell_angle_beta 90.00
_cell_angle_gamma 90.00
loop_
_atom_site_label
_atom_site_type_symbol
_atom_site_fract_x
_atom_site_fract_y
_atom_site_fract_z
Nd1 Nd 0.000 0.201 0.250
Ga1 Ga 0.000 0.369 0.750
Ga2 Ga 0.215 0.000 0.000
Ag1 Ag 0.000 0.160 0.750
Pd1 Pd 0.000 0.413 0.250
```

Output
Formation energy in eV per atom: -0.36
Total magnetization in μB/cell: 0.0